Entry 1:
Entry from OQMD via LeMat-Bulk: Dy2HoHg5 after structural relaxation (PBE). Values from VASP.

For the calculated total energy, the calculation gives -18.65 eV for the cell shown. Its space group is No. 38.

```
&SYSTEM
  ibrav = 0, nat = 8, ntyp = 3
/
ATOMIC_SPECIES
Dy 162.50 Dy.upf
Hg 200.59 Hg.upf
Ho 164.93 Ho.upf
CELL_PARAMETERS angstrom
-4.252 1.366 2.508
-2.465 -5.786 -1.029
1.614 -3.837 4.825
ATOMIC_POSITIONS crystal
Dy 0.000 0.338 0.338
Dy 0.500 0.635 0.635
Hg 0.500 0.131 0.131
Hg 0.500 0.633 0.139
Hg 0.000 0.837 0.391
Hg 0.500 0.139 0.633
Hg 0.000 0.391 0.837
Ho 0.000 0.895 0.895
```

Entry 2:
Entry from OQMD via LeMat-Bulk: Te2MoSe2I after structural relaxation (PBE). Values from VASP.

The energy above the most stable polymorph in this dataset is 0.016 eV per atom. For the calculated total energy, the calculation gives -54.95 eV for the cell shown. Its space group is No. 2.

```
&SYSTEM
  ibrav = 0, nat = 12, ntyp = 4
/
ATOMIC_SPECIES
I 126.90 I.upf
Mo 95.94 Mo.upf
Se 78.96 Se.upf
Te 127.60 Te.upf
CELL_PARAMETERS angstrom
6.667 0.000 0.000
-1.125 7.865 0.000
-3.303 -2.693 7.680
ATOMIC_POSITIONS crystal
I 0.667 0.742 0.417
I 0.333 0.258 0.583
Mo 0.220 0.001 0.000
Mo 0.780 0.999 0.000
Se 0.576 0.257 0.064
Se 0.034 0.809 0.134
Se 0.966 0.191 0.866
Se 0.424 0.743 0.936
Te 0.151 0.287 0.208
Te 0.657 0.091 0.285
Te 0.343 0.909 0.715
Te 0.849 0.713 0.792
```

Entry 3:
Entry from OQMD via LeMat-Bulk: DyY3Te2C2 after structural relaxation (PBE). Values from VASP.

For the calculated total energy, the calculation gives -55.78 eV for the cell shown. Its space group is No. 156.

```
&SYSTEM
  ibrav = 0, nat = 8, ntyp = 4
/
ATOMIC_SPECIES
C 12.01 C.upf
Dy 162.50 Dy.upf
Te 127.60 Te.upf
Y 88.91 Y.upf
CELL_PARAMETERS angstrom
-2.668 -0.300 -2.744
2.755 -2.657 0.297
-8.121 -7.445 8.710
ATOMIC_POSITIONS crystal
C 0.667 0.333 0.001
C 0.667 0.333 0.500
Dy 0.000 0.000 0.093
Te 0.333 0.667 0.250
Te 0.000 0.000 0.750
Y 0.000 0.000 0.406
Y 0.333 0.667 0.593
Y 0.333 0.667 0.906
```

Entry 4:
Entry from OQMD via LeMat-Bulk: BaGaCo after structural relaxation (PBE). Values from VASP.

For the calculated total energy, the calculation gives -10.99 eV for the cell shown. Its space group is No. 216.

```
&SYSTEM
  ibrav = 0, nat = 3, ntyp = 3
/
ATOMIC_SPECIES
Ba 137.33 Ba.upf
Co 58.93 Co.upf
Ga 69.72 Ga.upf
CELL_PARAMETERS angstrom
0.000 3.379 3.379
3.379 0.000 3.379
3.379 3.379 0.000
ATOMIC_POSITIONS crystal
Ba 0.250 0.250 0.250
Co 0.000 0.000 0.000
Ga 0.750 0.750 0.750
```

Entry 5:
Entry from OQMD via LeMat-Bulk: La3Si2Ni2N3 after structural relaxation (PBE). Values from VASP.

For the calculated total energy, the calculation gives -73.25 eV for the cell shown. Its space group is No. 139.

```
&SYSTEM
  ibrav = 0, nat = 10, ntyp = 4
/
ATOMIC_SPECIES
La 138.91 La.upf
N 14.01 N.upf
Ni 58.69 Ni.upf
Si 28.09 Si.upf
CELL_PARAMETERS angstrom
-1.902 1.902 11.030
1.902 -1.902 11.030
1.902 1.902 -11.030
ATOMIC_POSITIONS crystal
La 0.000 0.000 0.000
La 0.381 0.381 0.000
La 0.619 0.619 0.000
N 0.112 0.112 0.000
N 0.500 0.500 0.000
N 0.888 0.888 0.000
Ni 0.750 0.250 0.500
Ni 0.250 0.750 0.500
Si 0.193 0.193 0.000
Si 0.807 0.807 0.000
```

Entry 6:
Entry from OQMD via LeMat-Bulk: AgBi2 after structural relaxation (PBE). Values from VASP.

The energy above the most stable polymorph in this dataset is 0.036 eV per atom. For the calculated total energy, the calculation gives -21.14 eV for the cell shown. Its space group is No. 58.

```
&SYSTEM
  ibrav = 0, nat = 6, ntyp = 2
/
ATOMIC_SPECIES
Ag 107.87 Ag.upf
Bi 208.98 Bi.upf
CELL_PARAMETERS angstrom
7.629 0.000 0.000
0.000 6.600 0.000
0.000 0.000 3.400
ATOMIC_POSITIONS crystal
Ag 0.500 0.500 0.000
Ag 0.000 0.000 0.500
Bi 0.141 0.331 0.000
Bi 0.859 0.669 0.000
Bi 0.641 0.169 0.500
Bi 0.359 0.831 0.500
```

Entry 7:
Entry from OQMD via LeMat-Bulk: SrTePdO after structural relaxation (PBE). Values from VASP.

The energy above the most stable polymorph in this dataset is 0.199 eV per atom. For the calculated total energy, the calculation gives -38.93 eV for the cell shown. Its space group is No. 129.

```
&SYSTEM
  ibrav = 0, nat = 8, ntyp = 4
/
ATOMIC_SPECIES
O 16.00 O.upf
Pd 106.42 Pd.upf
Sr 87.62 Sr.upf
Te 127.60 Te.upf
CELL_PARAMETERS angstrom
4.305 0.000 0.000
0.000 4.305 0.000
0.000 0.000 9.623
ATOMIC_POSITIONS crystal
O 0.750 0.750 0.102
O 0.250 0.250 0.898
Pd 0.750 0.750 0.323
Pd 0.250 0.250 0.677
Sr 0.250 0.250 0.135
Sr 0.750 0.750 0.865
Te 0.750 0.250 0.500
Te 0.250 0.750 0.500
```

Entry 8:
Entry from OQMD via LeMat-Bulk: In2Re3Tc after structural relaxation (PBE). Values from VASP.

For the calculated total energy, the calculation gives -46.73 eV for the cell shown. Its space group is No. 191.

```
&SYSTEM
  ibrav = 0, nat = 6, ntyp = 3
/
ATOMIC_SPECIES
In 114.82 In.upf
Re 186.21 Re.upf
Tc 98.00 Tc.upf
CELL_PARAMETERS angstrom
5.163 0.000 0.000
-2.582 4.472 0.000
0.000 0.000 4.811
ATOMIC_POSITIONS crystal
In 0.667 0.333 0.500
In 0.333 0.667 0.500
Re 0.500 0.000 0.000
Re 0.000 0.500 0.000
Re 0.500 0.500 0.000
Tc 0.000 0.000 0.500
```

Entry 9:
Entry from OQMD via LeMat-Bulk: LiIrO3 after structural relaxation (PBE). Values from VASP.

For the calculated total energy, the calculation gives -61.78 eV for the cell shown. Its space group is No. 5.

```
&SYSTEM
  ibrav = 0, nat = 10, ntyp = 3
/
ATOMIC_SPECIES
Ir 192.22 Ir.upf
Li 6.94 Li.upf
O 16.00 O.upf
CELL_PARAMETERS angstrom
-2.634 -4.437 0.018
-2.634 4.437 0.018
1.826 0.000 -4.713
ATOMIC_POSITIONS crystal
Ir 0.824 0.176 0.000
Ir 0.164 0.836 0.000
Li 0.004 0.996 0.500
Li 0.365 0.635 0.500
O 0.578 0.949 0.226
O 0.198 0.211 0.236
O 0.961 0.594 0.237
O 0.406 0.039 0.763
O 0.789 0.802 0.764
O 0.051 0.422 0.774
```

Entry 10:
Entry from OQMD via LeMat-Bulk: ZnOs after structural relaxation (PBE). Values from VASP.

For the calculated total energy, the calculation gives -49.43 eV for the cell shown. Its space group is No. 129.

```
&SYSTEM
  ibrav = 0, nat = 8, ntyp = 2
/
ATOMIC_SPECIES
Os 190.23 Os.upf
Zn 65.41 Zn.upf
CELL_PARAMETERS angstrom
-0.289 3.308 -2.312
-6.455 -1.639 -1.537
-1.300 2.121 3.199
ATOMIC_POSITIONS crystal
Os 0.917 0.503 0.000
Os 0.417 0.747 0.000
Os 0.417 0.503 0.500
Os 0.917 0.747 0.500
Zn 0.916 0.003 0.000
Zn 0.416 0.247 0.000
Zn 0.417 0.003 0.500
Zn 0.917 0.247 0.500
```

Entry 11:
Entry from OQMD via LeMat-Bulk: PmGd2N3 after structural relaxation (PBE). Values from VASP.

For the calculated total energy, the calculation gives -48.33 eV for the cell shown. Its space group is No. 164.

```
&SYSTEM
  ibrav = 0, nat = 6, ntyp = 3
/
ATOMIC_SPECIES
Gd 157.25 Gd.upf
N 14.01 N.upf
Pm 145.00 Pm.upf
CELL_PARAMETERS angstrom
3.533 0.000 0.000
-1.767 3.060 0.000
0.000 0.000 8.650
ATOMIC_POSITIONS crystal
Gd 0.667 0.333 0.165
Gd 0.333 0.667 0.835
N 0.000 0.000 0.000
N 0.333 0.667 0.328
N 0.667 0.333 0.672
Pm 0.000 0.000 0.500
```

Entry 12:
Entry from OQMD via LeMat-Bulk: LiCuTcIr after structural relaxation (PBE). Values from VASP.

The energy above the most stable polymorph in this dataset is 0.000 eV per atom. For the calculated total energy, the calculation gives -24.82 eV for the cell shown. Its space group is No. 216.

```
&SYSTEM
  ibrav = 0, nat = 4, ntyp = 4
/
ATOMIC_SPECIES
Cu 63.55 Cu.upf
Ir 192.22 Ir.upf
Li 6.94 Li.upf
Tc 98.00 Tc.upf
CELL_PARAMETERS angstrom
0.000 2.972 2.972
2.972 0.000 2.972
2.972 2.972 0.000
ATOMIC_POSITIONS crystal
Cu 0.750 0.750 0.750
Ir 0.000 0.000 0.000
Li 0.500 0.500 0.500
Tc 0.250 0.250 0.250
```